The following is a PBE-GGA calculation of a geometry-optimized In2H2Au structure, from the Alexandria database.

Calculated values
calculated volume: 191.91 Å³ per cell
DOS at the Fermi energy: 1.7 states/eV/f.u.
raw total energy: -29.73 eV per cell

Cell: 7.757 7.757 3.190 Å, 90.00 90.00 90.00°
Space group P4/mbm (No. 127)
Inequivalent atoms, fractional coordinates:
In  0.245  0.255  0.000 x4
H  0.035  0.465  0.500 x4
Au  0.000  0.000  0.000 x2